Computed, not measured: a crystal of Ba3MnAu relaxed with PBEsol at the meta-GGA SCAN level of DFT.

## Properties
As for the formation energy from the elements: 0.30 eV/atom. For the magnetization, the calculation gives 2.6 Bohr magnetons per cell.

a b c (Å): 5.697 5.697 5.697
angles (deg): 90.00 90.00 90.00
Space group Pm-3m (No. 221)
Unique sites:
Ba: 0.000 0.000 0.500 (multiplicity 3)
Mn: 0.000 0.000 0.000 (multiplicity 1)
Au: 0.500 0.500 0.500 (multiplicity 1)


Computed, not measured: a crystal of BaMnAu2 relaxed with PBEsol at the meta-GGA SCAN level of DFT.

## Properties
As for the formation energy from the elements: -0.33 eV/atom. For the magnetization, the calculation gives 19.0 Bohr magnetons per cell.

a b c (Å): 7.254 7.254 7.254
angles (deg): 90.00 90.00 90.00
Space group Fm-3m (No. 225)
Unique sites:
Ba: 0.000 0.000 0.000 (multiplicity 4)
Mn: 0.000 0.000 0.500 (multiplicity 4)
Au: 0.250 0.250 0.250 (multiplicity 8)


Computed, not measured: a crystal of BaMoAu relaxed with PBEsol at the meta-GGA SCAN level of DFT.

## Properties
As for the formation energy from the elements: 0.63 eV/atom. For the magnetization, the calculation gives 0.0 Bohr magnetons per cell. The energy above the most stable polymorph in this dataset comes out at 0 meV per atom.

a b c (Å): 3.165 3.165 13.705
angles (deg): 90.00 90.00 90.00
Space group I4mm (No. 107)
Unique sites:
Ba: 0.000 0.000 0.000 (multiplicity 2)
Mo: 0.000 0.000 0.696 (multiplicity 2)
Au: 0.000 0.000 0.307 (multiplicity 2)


Computed, not measured: a crystal of BaMo2Au relaxed with PBEsol at the meta-GGA SCAN level of DFT.

## Properties
As for the formation energy from the elements: 0.50 eV/atom. For the magnetization, the calculation gives 0.0 Bohr magnetons per cell.

a b c (Å): 10.292 3.260 5.780
angles (deg): 90.00 101.08 90.00
Space group C2/m (No. 12)
Unique sites:
Ba: 0.000 0.000 0.000 (multiplicity 2)
Mo: 0.220 0.000 0.625 (multiplicity 4)
Au: 0.000 0.500 0.500 (multiplicity 2)


Computed, not measured: a crystal of BaMoAu relaxed with PBEsol at the meta-GGA SCAN level of DFT.

## Properties
As for the formation energy from the elements: 0.95 eV/atom. For the magnetization, the calculation gives 12.6 Bohr magnetons per cell. The energy above the most stable polymorph in this dataset comes out at 329 meV per atom.

a b c (Å): 6.797 6.797 6.797
angles (deg): 90.00 90.00 90.00
Space group F-43m (No. 216)
Unique sites:
Ba: 0.000 0.000 0.000 (multiplicity 4)
Mo: 0.250 0.250 0.250 (multiplicity 4)
Au: 0.000 0.000 0.500 (multiplicity 4)


Computed, not measured: a crystal of BaMoAu2O relaxed with PBEsol at the meta-GGA SCAN level of DFT.

## Properties
For the magnetization, the calculation gives 4.7 Bohr magnetons per cell. The value obtained for the formation energy from raw total energies is 0.848 eV/atom.

a b c (Å): 5.800 5.800 4.343
angles (deg): 90.00 90.00 90.00
Space group P4/mmm (No. 123)
Unique sites:
Ba: 0.000 0.000 0.000 (multiplicity 1)
Mo: 0.500 0.500 0.500 (multiplicity 1)
Au: 0.000 0.500 0.000 (multiplicity 2)
O: 0.000 0.000 0.500 (multiplicity 1)


- Number 4 is which compound?
  BaMo2Au